# GGA-PBE TcHg2Cl6, relaxed
data_TcHg2Cl6
_chemical_formula_sum 'Tc1 Hg2 Cl6'
_symmetry_space_group_name_H-M 'P 1'
_symmetry_Int_Tables_number 1
_cell_length_a 7.2266
_cell_length_b 7.1084
_cell_length_c 7.2429
_cell_angle_alpha 59.44
_cell_angle_beta 78.60
_cell_angle_gamma 66.47
loop_
_symmetry_equiv_pos_as_xyz
'x,y,z'
loop_
_atom_site_label
_atom_site_type_symbol
_atom_site_fract_x
_atom_site_fract_y
_atom_site_fract_z
Cl1 Cl 0.9866 0.4334 0.2538
Cl2 Cl 0.5315 0.8075 0.2937
Cl3 Cl 0.7914 0.9542 0.8285
Cl4 Cl 0.8014 0.4706 0.8394
Cl5 Cl 0.5523 0.3290 0.2969
Cl6 Cl 0.3585 0.8622 0.8646
Hg1 Hg 0.4340 0.3967 0.6223
Hg2 Hg 0.2166 0.4220 0.9492
Tc1 Tc 0.6619 0.6587 0.0488
# Calculated volume in Å³ per cell: 293.7
# Formation energy from raw total energies in meV/atom: -616
# Spin magnetization in μB per atom: 0.33
# Symmetry: P1, No. 1
# Raw total energy in eV/atom: -3.0660